Entry 1:
TbPm2Tl, optimized geometry, DFT GGA-PBE; total magnetic moment = 0.094 μB per atom; formation energy = -195.4 meV/atom; space group = P4/mmm, No. 123
1.0
4.9851 0.0000 0.0000
0.0000 4.9070 0.0000
0.0000 0.0000 4.9070
Pm Tb Tl
2 1 1
Cartesian
0.0000 0.0000 2.4535 Pm
0.0000 2.4535 0.0000 Pm
2.4925 0.0000 0.0000 Tb
2.4925 2.4535 2.4535 Tl

Entry 2:
RbBeRuI2, optimized geometry, DFT GGA-PBE; formation energy without anion corrections = 1619 meV per atom; total magnetic moment = 0.600 μB per atom; space group = P4/mmm, No. 123
1.0
6.6862 0.0000 0.0000
0.0000 5.4530 0.0000
0.0000 0.0000 6.6862
Ru I Rb Be
1 2 1 1
Cartesian
0.0000 2.7265 0.0000 Ru
3.3431 0.0000 0.0000 I
0.0000 0.0000 3.3431 I
0.0000 0.0000 0.0000 Rb
3.3431 2.7265 3.3431 Be

Entry 3:
Re3TcHg, optimized geometry, DFT GGA-PBE; total magnetic moment = 0.324 μB per atom; formation energy = 2119.4 meV/atom; space group = Pm-3m, No. 221
1.0
4.6980 0.0000 0.0000
0.0000 4.6980 0.0000
0.0000 0.0000 4.6980
Hg Re Tc
1 3 1
Cartesian
2.3490 2.3490 2.3490 Hg
0.0000 2.3490 0.0000 Re
2.3490 0.0000 0.0000 Re
0.0000 0.0000 2.3490 Re
0.0000 0.0000 0.0000 Tc

Entry 4:
Tb6Dy2Mg, optimized geometry, DFT GGA-PBE; total magnetic moment = 0.000 μB per atom; formation energy = 3.9 meV/atom; space group = C2/c, No. 15
1.0
6.1226 -0.9786 0.1048
-1.6392 10.0334 5.9347
-2.9676 2.1910 10.3610
Tb Dy Mg
12 4 2
Cartesian
-0.8405 1.9667 6.6175 Tb
0.1810 8.4511 5.4435 Tb
-0.3372 5.6843 11.9628 Tb
1.0161 0.4348 2.1821 Tb
0.4996 10.8110 14.2184 Tb
1.3347 2.7947 10.9571 Tb
-1.3995 5.3708 5.9984 Tb
-0.1001 7.0503 8.7074 Tb
1.6159 4.1954 7.6932 Tb
1.8530 5.5614 4.4377 Tb
2.3562 9.2790 9.7831 Tb
2.9152 5.8749 10.4022 Tb
-0.5739 3.3115 3.2682 Dy
-0.8368 9.0992 11.4504 Dy
2.3526 2.1466 4.9502 Dy
2.0896 7.9343 13.1324 Dy
-1.5981 3.9854 9.2727 Mg
3.1139 7.2604 7.1279 Mg

Entry 5:
Tm3CrPt12, optimized geometry, DFT GGA-PBE; total magnetic moment = 0.130 μB per atom; formation energy = -865.0 meV/atom; space group = P4/mmm, No. 123
1.0
4.0466 0.0000 0.0000
0.0000 4.0466 0.0000
0.0000 0.0000 16.2193
Pt Tm Cr
12 3 1
Cartesian
2.0233 0.0000 10.1765 Pt
2.0233 0.0000 1.8805 Pt
0.0000 2.0233 6.0428 Pt
2.0233 0.0000 14.3387 Pt
0.0000 2.0233 1.8805 Pt
2.0233 2.0233 0.0000 Pt
2.0233 2.0233 12.2586 Pt
0.0000 2.0233 14.3387 Pt
2.0233 2.0233 8.1096 Pt
2.0233 2.0233 3.9606 Pt
0.0000 2.0233 10.1765 Pt
2.0233 0.0000 6.0428 Pt
0.0000 0.0000 3.9961 Tm
0.0000 0.0000 12.2232 Tm
0.0000 0.0000 8.1096 Tm
0.0000 0.0000 0.0000 Cr

Entry 6:
SrLaB, optimized geometry, DFT GGA-PBE; total magnetic moment = 0.000 μB per atom; formation energy = 20.3 meV/atom; space group = P-1, No. 2
1.0
7.2087 0.0323 0.0032
-0.9339 7.5824 -0.0048
-0.0026 0.7396 3.2620
B La Sr
2 2 2
Cartesian
2.4538 5.3376 3.0105 B
2.9185 4.9976 1.3731 B
0.4596 6.1244 1.1146 La
4.9152 3.4717 0.0076 La
1.3951 2.6514 1.9056 Sr
3.9770 7.6838 2.4772 Sr